A plane-wave DFT calculation with PBE-GGA was carried out for crystalline CsLaHRh at its relaxed geometry.

a b c (Å): 3.922 3.919 7.995
angles (deg): 103.94 104.12 90.01
Fractional coordinates of all 4 atoms:
Cs: 0.242 0.543 0.084
La: 0.001 0.305 0.598
H: 0.647 0.949 0.892
Rh: 0.535 0.839 0.667

Calculated values
* raw total energy: -4.418 eV/atom
* distance to the lowest polymorph of the same formula: 0 meV per atom
* total magnetic moment: 0.00 μB per atom

A plane-wave DFT calculation with PBE-GGA was carried out for crystalline CsLaHRh at its relaxed geometry.

a b c (Å): 4.567 4.567 7.236
angles (deg): 90.00 90.00 120.00
Fractional coordinates of all 4 atoms:
Cs: 0.333 0.667 0.288
La: 0.000 0.000 0.783
H: 0.667 0.333 0.497
Rh: 0.667 0.333 0.729

Calculated values
* raw total energy: -4.365 eV/atom
* distance to the lowest polymorph of the same formula: 53 meV per atom
* total magnetic moment: 0.00 μB per atom